No. 1
## K5TlSb2 (GGA-PBE)

Data for a relaxed K5TlSb2 crystal.

a = 6.0212 Å, b = 6.0212 Å, c = 11.3155 Å
α = 74.57°, β = 74.57°, γ = 60.00°
Closest atoms and distances in Å follow each position.
Positions (direct):
1 K 0.5000 0.5000 0.5000  8 K 3.84-3.86, 6 Sb 4.13
2 K 0.3807 0.3807 0.8580  3 Tl 3.80, 3 Sb 3.84, 4 K 3.86-4.12
3 K 0.6193 0.6193 0.1420  3 Tl 3.80, 3 Sb 3.84, 4 K 3.86-4.12
4 K 0.2174 0.2174 0.3478  4 Sb 3.53-3.87, 3 K 3.84
5 K 0.7826 0.7826 0.6522  4 Sb 3.53-3.87, 3 K 3.84
6 Tl 0.0000 0.0000 0.0000  2 Sb 3.15
7 Sb 0.0976 0.0976 0.7072  1 Tl 3.15, 3 K 3.53
8 Sb 0.9024 0.9024 0.2928  1 Tl 3.15, 3 K 3.53

Uncorrected formation energy ... -282 meV per atom
DOS(E_F) ... 5.853 states/eV/cell
Spin magnetization ... 0.00 μB per atom

No. 2
## ZrInMo2 (GGA-PBE)

Data for a relaxed ZrInMo2 crystal.

a = 5.3609 Å, b = 5.3609 Å, c = 4.7362 Å
α = 67.91°, β = 67.91°, γ = 37.66°
Closest atoms and distances in Å follow each position.
Positions (direct):
1 In 0.7500 0.7500 0.7500  4 Zr 2.93, 6 Mo 2.95-3.02
2 Mo 0.9937 0.9937 0.9625  2 Mo 2.62, 2 Zr 2.88
3 Mo 0.5063 0.5063 0.5375  2 Mo 2.62, 2 Zr 2.88
4 Zr 0.2500 0.2500 0.2500  4 Mo 2.88, 4 In 2.93

ΔE_f ... 0.1744 eV per atom
DOS(E_F) ... 2.611 states/eV/cell
Spin magnetization ... 0.00 μB per atom

Number 1: total energy -2.294 eV/atom. Number 2: total energy -8.063 eV/atom.